[1]
DFT (SCAN) results for a crystal of ZrScRe2 relaxed with PBEsol.

Calculated values
Energy of formation: -0.03 eV per atom
Crystal system: orthorhombic

Structure (POSCAR):
```
ZrScRe2
1.0
3.2001 0.0000 0.0000
0.0000 4.4667 0.0000
0.0000 0.0000 4.6713
Zr Sc Re
1 1 2
Direct
0.0000 0.0000 0.0000
0.5000 0.0000 0.5000
0.0000 0.5000 0.5000
0.5000 0.5000 0.0000
```


[2]
DFT (SCAN) results for a crystal of ScAl2Co relaxed with PBEsol.

Calculated values
Energy of formation: -0.30 eV per atom
Crystal system: cubic

Structure (POSCAR):
```
ScAl2Co
1.0
0.0000 3.0664 3.0664
3.0664 0.0000 3.0664
3.0664 3.0664 0.0000
Sc Al Co
1 2 1
Direct
0.0000 0.0000 0.0000
0.2500 0.2500 0.2500
0.7500 0.7500 0.7500
0.5000 0.5000 0.5000
```


[3]
DFT (SCAN) results for a crystal of Ti3Sn5S12 relaxed with PBEsol.

Calculated values
Crystal system: monoclinic
Uncorrected formation energy: -884 meV/atom

Structure (POSCAR):
```
Ti3Sn5S12
1.0
8.8099 0.0000 0.0000
0.0000 3.5755 0.0000
-0.1046 0.0000 13.3416
Ti Sn S
3 5 12
Direct
0.0000 0.0000 0.0000
0.1599 0.5000 0.5146
0.4777 0.0000 0.6033
0.3029 0.5000 0.8867
0.3443 0.0000 0.2370
0.6686 0.5000 0.1110
0.7838 0.5000 0.7311
0.8523 0.0000 0.3965
0.0541 0.5000 0.3499
0.0966 0.0000 0.8385
0.1561 0.5000 0.0654
0.3119 0.5000 0.6650
0.3281 0.0000 0.4531
0.4853 0.0000 0.0499
0.5494 0.5000 0.2833
0.5811 0.0000 0.7719
0.6442 0.5000 0.5476
0.8210 0.5000 0.9470
0.8573 0.0000 0.1636
0.9970 0.0000 0.5747
```


[4]
DFT (SCAN) results for a crystal of GaBIr2I relaxed with PBEsol.

Calculated values
Crystal system: tetragonal
Uncorrected formation energy: 2285 meV/atom

Structure (POSCAR):
```
GaBIr2I
1.0
4.5645 0.0000 0.0000
0.0000 4.5645 0.0000
0.0000 0.0000 5.2770
Ga B Ir I
1 1 2 1
Direct
0.0000 0.0000 0.0000
0.5000 0.5000 0.5000
0.0000 0.5000 0.0000
0.5000 0.0000 0.0000
0.0000 0.0000 0.5000
```


[5]
DFT (SCAN) results for a crystal of FeSO4F relaxed with PBEsol.

Calculated values
Crystal system: monoclinic
Uncorrected formation energy: -1778 meV/atom

Structure (POSCAR):
```
FeSO4F
1.0
3.6778 -3.5506 0.0000
3.6778 3.5506 0.0000
-3.6315 0.0000 6.4002
Fe S O F
2 2 8 2
Direct
0.0000 0.5000 0.0000
0.5000 0.0000 0.5000
0.1332 0.8668 0.7500
0.8668 0.1332 0.2500
0.1477 0.1759 0.4176
0.1591 0.6456 0.8385
0.1759 0.1477 0.9176
0.3544 0.8409 0.6615
0.6456 0.1591 0.3385
0.8241 0.8523 0.0824
0.8409 0.3544 0.1615
0.8523 0.8241 0.5824
0.3352 0.6648 0.2500
0.6648 0.3352 0.7500
```


[6]
DFT (SCAN) results for a crystal of Mg2ScSe relaxed with PBEsol.

Calculated values
Crystal system: tetragonal
Uncorrected formation energy: -559 meV/atom

Structure (POSCAR):
```
Mg2ScSe
1.0
-1.9601 1.9601 5.3455
1.9601 -1.9601 5.3455
1.9601 1.9601 -5.3455
Mg Sc Se
2 1 1
Direct
0.2500 0.7500 0.5000
0.7500 0.2500 0.5000
0.0000 0.0000 0.0000
0.5000 0.5000 0.0000
```


[7]
DFT (SCAN) results for a crystal of MgAl2Au relaxed with PBEsol.

Calculated values
Energy of formation: -0.23 eV per atom
Crystal system: monoclinic

Structure (POSCAR):
```
MgAl2Au
1.0
2.7695 -4.9572 0.0000
2.7695 4.9572 0.0000
-1.5501 0.0000 2.5417
Mg Al Au
1 2 1
Direct
0.0000 0.0000 0.0000
0.0000 0.5000 0.0000
0.5000 0.0000 0.0000
0.5000 0.5000 0.0000
```


[8]
DFT (SCAN) results for a crystal of LiTl2Ag relaxed with PBEsol.

Calculated values
Energy of formation: -0.07 eV per atom
Crystal system: tetragonal

Structure (POSCAR):
```
LiTl2Ag
1.0
4.5598 0.0000 0.0000
0.0000 4.5598 0.0000
0.0000 0.0000 4.0551
Li Tl Ag
1 2 1
Direct
0.0000 0.0000 0.0000
0.0000 0.5000 0.5000
0.5000 0.0000 0.5000
0.5000 0.5000 0.0000
```


[9]
DFT (SCAN) results for a crystal of KP4N7 relaxed with PBEsol.

Calculated values
Crystal system: orthorhombic
Uncorrected formation energy: -760 meV/atom

Structure (POSCAR):
```
KP4N7
1.0
9.8618 0.0000 0.0000
0.0000 12.2937 0.0000
0.0000 0.0000 4.6714
K P N
4 16 28
Direct
0.1530 0.2500 0.2417
0.3470 0.7500 0.7417
0.6530 0.2500 0.2583
0.8470 0.7500 0.7583
0.0889 0.6308 0.2126
0.0889 0.8692 0.2126
0.1561 0.0004 0.7178
0.1561 0.4996 0.7178
0.3439 0.9996 0.2178
0.3439 0.5004 0.2178
0.4111 0.1308 0.7126
0.4111 0.3692 0.7126
0.5889 0.6308 0.2874
0.5889 0.8692 0.2874
0.6561 0.0004 0.7822
0.6561 0.4996 0.7822
0.8439 0.9996 0.2822
0.8439 0.5004 0.2822
0.9111 0.1308 0.7874
0.9111 0.3692 0.7874
0.0611 0.1035 0.6773
0.0611 0.3965 0.6773
0.1121 0.6071 0.8785
0.1121 0.8929 0.8785
0.1347 0.7500 0.2985
0.1996 0.5427 0.3813
0.1996 0.9573 0.3813
0.3004 0.0427 0.8813
0.3004 0.4573 0.8813
0.3653 0.2500 0.7985
0.3879 0.1071 0.3785
0.3879 0.3929 0.3785
0.4389 0.6035 0.1773
0.4389 0.8965 0.1773
0.5611 0.1035 0.8227
0.5611 0.3965 0.8227
0.6121 0.6071 0.6215
0.6121 0.8929 0.6215
0.6347 0.7500 0.2015
0.6996 0.5427 0.1187
0.6996 0.9573 0.1187
0.8004 0.0427 0.6187
0.8004 0.4573 0.6187
0.8653 0.2500 0.7015
0.8879 0.1071 0.1215
0.8879 0.3929 0.1215
0.9389 0.6035 0.3227
0.9389 0.8965 0.3227
```


[10]
DFT (SCAN) results for a crystal of TlAsS2 relaxed with PBEsol.

Calculated values
Crystal system: monoclinic
Uncorrected formation energy: -310 meV/atom

Structure (POSCAR):
```
TlAsS2
1.0
6.0037 0.0000 0.0000
0.0000 11.2219 0.0000
-3.0060 0.0000 11.6931
Tl As S
8 8 16
Direct
0.1613 0.1827 0.0586
0.1613 0.3173 0.5586
0.2754 0.5603 0.9019
0.2754 0.9397 0.4019
0.7246 0.0603 0.5981
0.7246 0.4397 0.0981
0.8387 0.6827 0.4414
0.8387 0.8173 0.9414
0.2297 0.6687 0.1905
0.2297 0.8313 0.6905
0.4492 0.0869 0.8642
0.4492 0.4131 0.3642
0.5508 0.5869 0.6358
0.5508 0.9131 0.1358
0.7703 0.1687 0.3095
0.7703 0.3313 0.8095
0.1907 0.5641 0.6503
0.1907 0.9359 0.1503
0.2609 0.0407 0.6767
0.2609 0.4593 0.1767
0.2895 0.6810 0.3779
0.2895 0.8190 0.8779
0.4059 0.2079 0.3349
0.4059 0.2921 0.8349
0.5941 0.7079 0.1651
0.5941 0.7921 0.6651
0.7105 0.1810 0.1221
0.7105 0.3190 0.6221
0.7391 0.5407 0.8233
0.7391 0.9593 0.3233
0.8093 0.0641 0.8497
0.8093 0.4359 0.3497
```


[11]
DFT (SCAN) results for a crystal of KLiFe2 relaxed with PBEsol.

Calculated values
Energy of formation: 0.70 eV per atom
Crystal system: monoclinic

Structure (POSCAR):
```
KLiFe2
1.0
4.6052 -1.3671 0.0000
4.6052 1.3671 0.0000
-0.3303 0.0000 6.7890
K Li Fe
1 1 2
Direct
0.0000 0.0000 0.0000
0.5000 0.5000 0.5000
0.2415 0.2415 0.6274
0.7585 0.7585 0.3726
```


[12]
DFT (SCAN) results for a crystal of PdS2Br relaxed with PBEsol.

Calculated values
Crystal system: trigonal
Uncorrected formation energy: -154 meV/atom

Structure (POSCAR):
```
PdS2Br
1.0
1.8374 1.0608 7.2327
-1.8374 1.0608 7.2327
0.0000 -2.1216 7.2327
Pd S Br
1 2 1
Direct
0.0000 0.0000 0.0000
0.3866 0.3866 0.3866
0.6134 0.6134 0.6134
0.5000 0.5000 0.5000
```


no.,theoretical density (g cm⁻³)
1,12.65
2,4.55
3,4.43
4,8.94
5,3.40
6,3.49
7,6.55
8,10.31
9,3.06
10,5.79
11,3.06
12,4.92